Li7Mn2Co3O12 GGA+U relaxed; offset from the most stable computed form = 32.0 meV/atom; space group = P1 (1)
1.0
5.1537 -0.1412 0.0340
0.8126 4.9722 0.0792
0.7014 2.4335 8.2464
Li O Co Mn
7 12 3 2
direct
0.2581 0.0798 0.4067
0.4991 0.8293 0.1703
0.7383 0.2462 0.2505
0.7511 0.5831 0.9235
0.2580 0.4202 0.0924
0.2400 0.7527 0.7518
0.7598 0.9157 0.5765
0.3587 0.1610 0.6349
0.0977 0.0259 0.2030
0.8967 0.3061 0.4635
0.3534 0.8306 0.9536
0.1074 0.3633 0.8704
0.8985 0.6438 0.1231
0.1097 0.6898 0.5442
0.3765 0.4633 0.3062
0.6413 0.5063 0.7006
0.6430 0.1906 0.0251
0.6275 0.8448 0.3832
0.8892 0.9764 0.7917
0.4989 0.1646 0.8368
0.5001 0.5052 0.4937
0.9981 0.6663 0.3316
0.9985 0.9980 0.0020
0.0007 0.3370 0.6648